{"formula": "Sm3Mg3Ir2Pt", "functional": "GGA-PBE", "state": "optimized geometry", "lattice_angstrom": [[7.427, 0.000, 0.000], [-3.713, 6.432, 0.000], [0.000, 0.000, 4.084]], "species": ["Ir", "Ir", "Mg", "Mg", "Mg", "Pt", "Sm", "Sm", "Sm"], "fractional_positions": [[0.667, 0.333, 0.500], [0.333, 0.667, 0.500], [0.245, 0.000, 0.500], [0.000, 0.245, 0.500], [0.755, 0.755, 0.500], [0.000, 0.000, 0.000], [0.586, 0.000, 0.000], [0.414, 0.414, 0.000], [0.000, 0.586, 0.000]], "dft_energy_ev_per_atom": -5.469}